# SCAN Tl2TcS, single point on PBEsol structure
# M_tot (μB per formula unit): 2.9
# Density of states at the Fermi level (states/eV per atom): 0.443
# Formation energy without anion corrections (eV/atom): 0.9151
data_Tl2TcS
_chemical_formula_sum 'Tl2 Tc1 S1'
_cell_length_a 4.853
_cell_length_b 4.853
_cell_length_c 4.853
_cell_angle_alpha 60.00
_cell_angle_beta 60.00
_cell_angle_gamma 60.00
_symmetry_space_group_name_H-M 'P 1'
_symmetry_Int_Tables_number 1
loop_
_symmetry_equiv_pos_as_xyz
'x,y,z'
loop_
_atom_site_label
_atom_site_fract_x
_atom_site_fract_y
_atom_site_fract_z
S1 0.000 0.000 0.000
Tl1 0.250 0.250 0.250
Tl2 0.750 0.750 0.750
Tc1 0.500 0.500 0.500

---

# SCAN ScSi2Pb, single point on PBEsol structure
# M_tot (μB per formula unit): 0.0
# Density of states at the Fermi level (states/eV per atom): 0.420
# Formation energy without anion corrections (eV/atom): -0.0333
data_ScSi2Pb
_chemical_formula_sum 'Sc1 Si2 Pb1'
_cell_length_a 3.529
_cell_length_b 3.821
_cell_length_c 6.091
_cell_angle_alpha 90.00
_cell_angle_beta 98.64
_cell_angle_gamma 90.00
_symmetry_space_group_name_H-M 'P 1'
_symmetry_Int_Tables_number 1
loop_
_symmetry_equiv_pos_as_xyz
'x,y,z'
loop_
_atom_site_label
_atom_site_fract_x
_atom_site_fract_y
_atom_site_fract_z
Pb1 0.500 0.500 0.000
Sc1 0.500 0.500 0.500
Si1 0.027 0.000 0.692
Si2 0.973 0.000 0.308

---

# SCAN ZrTlZnGa2, single point on PBEsol structure
# Calculated formation energy (eV/atom): 0.59
# M_tot (μB per formula unit): 0.0
# Density of states at the Fermi level (states/eV per atom): 1.077
data_ZrTlZnGa2
_chemical_formula_sum 'Zr1 Tl1 Zn1 Ga2'
_cell_length_a 5.201
_cell_length_b 5.201
_cell_length_c 5.214
_cell_angle_alpha 90.00
_cell_angle_beta 90.00
_cell_angle_gamma 90.00
_symmetry_space_group_name_H-M 'P 1'
_symmetry_Int_Tables_number 1
loop_
_symmetry_equiv_pos_as_xyz
'x,y,z'
loop_
_atom_site_label
_atom_site_fract_x
_atom_site_fract_y
_atom_site_fract_z
Zn1 0.000 0.000 0.500
Tl1 0.500 0.500 0.500
Ga1 0.000 0.500 0.000
Ga2 0.500 0.000 0.000
Zr1 0.000 0.000 0.000